# GGA-PBE CaNdEr2, relaxed
data_CaNdEr2
_chemical_formula_sum 'Ca3 Nd3 Er6'
_symmetry_space_group_name_H-M 'R -3 m'
_symmetry_Int_Tables_number 166
_symmetry_space_group_name_Hall '-R 3 2"'
_cell_length_a 3.5604
_cell_length_b 3.5604
_cell_length_c 37.6640
_cell_angle_alpha 90.00
_cell_angle_beta 90.00
_cell_angle_gamma 120.00
loop_
_atom_site_label
_atom_site_fract_x
_atom_site_fract_y
_atom_site_fract_z
_atom_site_occupancy
Ca1 0.0000 0.0000 0.0000 1
Nd1 0.0000 0.0000 0.5000 1
Er1 0.0000 0.0000 0.0901 1
# E above lowest polymorph: 0.415 eV per formula unit
# Formation energy: 0.1734 eV per atom
# Crystal system: trigonal

***

# GGA-PBE SiHg7, relaxed
data_SiHg7
_chemical_formula_sum 'Si4 Hg28'
_symmetry_space_group_name_H-M 'F m -3 m'
_symmetry_Int_Tables_number 225
_symmetry_space_group_name_Hall '-F 4 2 3'
_cell_length_a 9.211
_cell_length_b 9.211
_cell_length_c 9.211
_cell_angle_alpha 90.00
_cell_angle_beta 90.00
_cell_angle_gamma 90.00
loop_
_atom_site_label
_atom_site_fract_x
_atom_site_fract_y
_atom_site_fract_z
_atom_site_occupancy
Si1 0.000 0.000 0.000 1
Hg1 0.000 0.000 0.500 1
Hg2 0.000 0.250 0.250 1
# Raw formation energy: 0.25 eV/atom
# Crystal system: cubic

***

# GGA-PBE Zn2NiPb, relaxed
data_Zn2NiPb
_chemical_formula_sum 'Zn8 Ni4 Pb4'
_symmetry_space_group_name_H-M 'I -4 2 d'
_symmetry_Int_Tables_number 122
_symmetry_space_group_name_Hall 'I -4 2bw'
_cell_length_a 4.086
_cell_length_b 4.086
_cell_length_c 18.116
_cell_angle_alpha 90.00
_cell_angle_beta 90.00
_cell_angle_gamma 90.00
loop_
_atom_site_label
_atom_site_fract_x
_atom_site_fract_y
_atom_site_fract_z
_atom_site_occupancy
Zn1 0.174 0.250 0.125 1
Ni1 0.000 0.000 0.000 1
Pb1 0.000 0.000 0.500 1
# Formation energy: 0.2242 eV per atom
# Crystal system: tetragonal

***

# GGA-PBE Zr4AgRh, relaxed
data_Zr4AgRh
_chemical_formula_sum 'Zr8 Ag2 Rh2'
_symmetry_space_group_name_H-M 'C 1 2/m 1'
_symmetry_Int_Tables_number 12
_symmetry_space_group_name_Hall '-C 2y'
_cell_length_a 14.937
_cell_length_b 3.185
_cell_length_c 5.630
_cell_angle_alpha 90.00
_cell_angle_beta 110.93
_cell_angle_gamma 90.00
loop_
_atom_site_label
_atom_site_fract_x
_atom_site_fract_y
_atom_site_fract_z
_atom_site_occupancy
Zr1 0.160 0.000 0.323 1
Zr2 0.161 0.500 0.836 1
Ag1 0.000 0.000 0.500 1
Rh1 0.000 0.500 0.000 1
# E above lowest polymorph: 1.442 eV per formula unit
# Formation energy: -0.0951 eV per atom
# Crystal system: monoclinic

***

# GGA-PBE Ba2Ge2As, relaxed
data_Ba2Ge2As
_chemical_formula_sum 'Ba4 Ge4 As2'
_symmetry_space_group_name_H-M 'I 4/m m m'
_symmetry_Int_Tables_number 139
_symmetry_space_group_name_Hall '-I 4 2'
_cell_length_a 3.949
_cell_length_b 3.949
_cell_length_c 19.727
_cell_angle_alpha 90.00
_cell_angle_beta 90.00
_cell_angle_gamma 90.00
loop_
_atom_site_label
_atom_site_fract_x
_atom_site_fract_y
_atom_site_fract_z
_atom_site_occupancy
Ba1 0.000 0.000 0.095 1
Ge1 0.000 0.500 0.250 1
As1 0.000 0.000 0.500 1
# E above lowest polymorph: 0.000 eV per formula unit
# Formation energy: -0.5075 eV per atom
# Crystal system: tetragonal

***

no.,V (A^3/atom)
1,34.456
2,24.419
3,18.907
4,20.849
5,30.759